A plane-wave DFT calculation with PBE was carried out for an optimized crystal structure of NdY12Tl3.

Calculated values
- energy of formation from the pure elements (eV per formula unit) = -2.092
- space group = P4/mmm (123)
- DOS(E_F) (states/eV/f.u.) = 21.00
- raw total energy (eV per atom) = -5.720

Unit cell a=4.8899 b=4.8899 c=20.0582 alpha=90.00 beta=90.00 gamma=90.00
With the nearest neighbours (Å) after each atom.
Fractional positions:
Y: 0.5000 0.0000 0.8673  8 Y 3.46-3.61, 2 Tl 3.50, 2 Nd 3.61
Y: 0.0000 0.5000 0.3780  4 Tl 3.44-3.46, 8 Y 3.45-3.46
Tl: 0.0000 0.0000 0.2575  12 Y 3.44-3.50
Y: 0.5000 0.5000 0.7431  8 Y 3.45-3.49, 4 Tl 3.46
Nd: 0.0000 0.0000 0.0000  12 Y 3.46-3.61
Tl: 0.0000 0.0000 0.5000  12 Y 3.46
Y: 0.5000 0.0000 0.3780  4 Tl 3.44-3.46, 8 Y 3.45-3.46
Y: 0.5000 0.0000 0.1327  8 Y 3.46-3.61, 2 Tl 3.50, 2 Nd 3.61
Y: 0.0000 0.5000 0.1327  8 Y 3.46-3.61, 2 Tl 3.50, 2 Nd 3.61
Tl: 0.0000 0.0000 0.7425  12 Y 3.44-3.50
Y: 0.5000 0.5000 0.0000  4 Nd 3.46, 8 Y 3.61
Y: 0.5000 0.5000 0.2569  8 Y 3.45-3.49, 4 Tl 3.46
Y: 0.0000 0.5000 0.6220  4 Tl 3.44-3.46, 8 Y 3.45-3.46
Y: 0.5000 0.0000 0.6220  4 Tl 3.44-3.46, 8 Y 3.45-3.46
Y: 0.0000 0.5000 0.8673  8 Y 3.46-3.61, 2 Tl 3.50, 2 Nd 3.61
Y: 0.5000 0.5000 0.5000  4 Tl 3.46, 8 Y 3.46